[1]
{"formula": "SmZrRh", "functional": "GGA-PBE", "state": "optimized geometry", "e_form_kj_per_mol_atoms": -50, "magmom_total_mub_per_atom": 0.000, "sg": "No. 38", "final_energy_ry_per_atom": -0.5433, "lattice": [[6.4331, 0.0000, 2.9354], [2.4034, 7.5292, 3.2497], [-0.0130, -0.0318, 8.5454]], "species": ["Rh", "Rh", "Sm", "Sm", "Zr", "Zr", "Rh", "Zr", "Rh", "Rh", "Zr", "Sm", "Sm", "Sm", "Zr", "Zr", "Rh", "Sm"], "frac_coords": [[0.7525, 0.2500, 0.7500], [0.0864, 0.1665, 0.1666], [0.1644, 0.5447, 0.0447], [0.7538, 0.4553, 0.9553], [0.0093, 0.0000, 0.0000], [0.7534, 0.3722, 0.3723], [0.4195, 0.3334, 0.3335], [0.7534, 0.8723, 0.8722], [0.7525, 0.7500, 0.2500], [0.0864, 0.6666, 0.6665], [0.0093, 0.5000, 0.5000], [0.3426, 0.2501, 0.7501], [0.7537, 0.9553, 0.4553], [0.1644, 0.0447, 0.5447], [0.4979, 0.6278, 0.6277], [0.4979, 0.1277, 0.1278], [0.4195, 0.8335, 0.8334], [0.3428, 0.7499, 0.2499]]}



[2]
{"formula": "SiSb2", "functional": "GGA-PBE", "state": "optimized geometry", "raw_formation_energy_ev_per_fu": 0.54, "magmom_total_mub_per_atom": 0.000, "sg": "No. 62", "final_energy_ry_per_atom": -0.3216, "lattice": [[4.1386, 0.0000, 0.0000], [0.0000, 7.4462, 0.0000], [0.0000, 0.0000, 11.7887]], "species": ["Sb", "Sb", "Si", "Sb", "Sb", "Sb", "Sb", "Sb", "Sb", "Si", "Si", "Si"], "frac_coords": [[0.2500, 0.5286, 0.6494], [0.7500, 0.5002, 0.9131], [0.2500, 0.6500, 0.4362], [0.2500, 0.9998, 0.4131], [0.2500, 0.0286, 0.8506], [0.7500, 0.9714, 0.1494], [0.7500, 0.4714, 0.3506], [0.7500, 0.0002, 0.5869], [0.2500, 0.4998, 0.0869], [0.2500, 0.1500, 0.0638], [0.7500, 0.3500, 0.5638], [0.7500, 0.8500, 0.9362]]}



[3]
{"formula": "Sr4AuN2", "functional": "GGA-PBE", "state": "optimized geometry", "raw_formation_energy_ev_per_fu": -3.78, "magmom_total_mub_per_atom": 0.000, "sg": "No. 63", "final_energy_ry_per_atom": -0.3196, "lattice": [[-0.9029, 2.3778, 3.0439], [2.1222, -5.9363, 2.6822], [12.8247, 4.6591, 0.1647]], "species": ["Sr", "N", "Sr", "Sr", "Au", "Sr", "Au", "Sr", "N", "Sr", "Sr", "Sr", "N", "N"], "frac_coords": [[0.5000, 0.0000, 0.0000], [0.8622, 0.7243, 0.9340], [0.2391, 0.4783, 0.9006], [0.7609, 0.5217, 0.0994], [0.6154, 0.2307, 0.7500], [0.9263, 0.8526, 0.7500], [0.3846, 0.7693, 0.2500], [0.5000, 0.0000, 0.5000], [0.1378, 0.2757, 0.4340], [0.7609, 0.5217, 0.4006], [0.2391, 0.4783, 0.5994], [0.0737, 0.1474, 0.2500], [0.8622, 0.7243, 0.5660], [0.1378, 0.2757, 0.0660]]}



[4]
{"formula": "Tb2ErAl3", "functional": "GGA-PBE", "state": "optimized geometry", "e_form_kj_per_mol_atoms": -38, "magmom_total_mub_per_atom": 0.000, "sg": "No. 123", "final_energy_ry_per_atom": -0.3361, "lattice": [[3.5822, 0.0000, 0.0000], [0.0000, 3.5822, 0.0000], [0.0000, 0.0000, 10.8945]], "species": ["Al", "Er", "Al", "Tb", "Tb", "Al"], "frac_coords": [[0.0000, 0.0000, 0.0000], [0.5000, 0.5000, 0.5000], [0.0000, 0.0000, 0.3381], [0.5000, 0.5000, 0.1688], [0.5000, 0.5000, 0.8312], [0.0000, 0.0000, 0.6619]]}



[5]
{"formula": "Ti2InHg2", "functional": "GGA-PBE", "state": "optimized geometry", "e_form_kj_per_mol_atoms": 11, "magmom_total_mub_per_atom": 0.000, "sg": "No. 127", "final_energy_ry_per_atom": -0.2727, "lattice": [[-2.4009, -2.4815, 7.0382], [7.3643, -1.9855, 1.8121], [0.5099, 3.0228, 1.2397]], "species": ["In", "Ti", "Hg", "Hg", "Ti", "Ti", "Hg", "Hg", "In", "Ti"], "frac_coords": [[0.5000, 0.5000, 0.0000], [0.1711, 0.6711, 0.5000], [0.1291, 0.3709, 0.0000], [0.8709, 0.6291, 0.0000], [0.3289, 0.1711, 0.5000], [0.6711, 0.8289, 0.5000], [0.3709, 0.8709, 0.0000], [0.6291, 0.1291, 0.0000], [0.0000, 0.0000, 0.0000], [0.8289, 0.3289, 0.5000]]}



[6]
{"formula": "LiCaScAl", "functional": "GGA-PBE", "state": "optimized geometry", "e_form_kj_per_mol_atoms": -11, "magmom_total_mub_per_atom": 0.000, "sg": "No. 216", "final_energy_ry_per_atom": -0.2656, "lattice": [[5.0901, 0.0000, 0.0000], [2.5451, 4.4082, 0.0000], [2.5451, 1.4694, 4.1561]], "species": ["Ca", "Al", "Sc", "Li"], "frac_coords": [[0.7500, 0.7500, 0.7500], [0.5000, 0.5000, 0.5000], [0.2500, 0.2500, 0.2500], [0.0000, 0.0000, 0.0000]]}



[7]
{"formula": "Pm3Dy2PaAs6", "functional": "GGA-PBE", "state": "optimized geometry", "e_form_kj_per_mol_atoms": -142, "magmom_total_mub_per_atom": 0.000, "sg": "No. 12", "final_energy_ry_per_atom": -0.4806, "lattice": [[-0.5279, -0.7033, -7.1572], [3.8509, -4.7548, 3.8159], [-6.6692, -2.0551, 1.9026]], "species": ["Dy", "As", "As", "As", "As", "As", "Dy", "Pa", "Pm", "As", "Pm", "Pm"], "frac_coords": [[0.3337, 0.6663, 0.0000], [0.4083, 0.0798, 0.2399], [0.5917, 0.9202, 0.7601], [0.7519, 0.7519, 0.2396], [0.9202, 0.5917, 0.7601], [0.2481, 0.2481, 0.7604], [0.6663, 0.3337, 0.0000], [0.0000, 0.0000, 0.0000], [0.1681, 0.8319, 0.5000], [0.0798, 0.4083, 0.2399], [0.5000, 0.5000, 0.5000], [0.8319, 0.1681, 0.5000]]}



[8]
{"formula": "CsAl2Si2", "functional": "GGA-PBE", "state": "optimized geometry", "raw_formation_energy_ev_per_fu": 0.91, "magmom_total_mub_per_atom": 0.000, "sg": "No. 123", "final_energy_ry_per_atom": -0.2687, "lattice": [[-3.1522, 1.6826, 2.3555], [-2.6861, -2.9983, -1.4530], [1.8316, -4.3262, 5.5413]], "species": ["Al", "Si", "Cs", "Si", "Al"], "frac_coords": [[0.5000, 0.0000, 0.5000], [0.5000, 0.5000, 0.3046], [0.0000, 0.0000, 0.0000], [0.5000, 0.5000, 0.6954], [0.0000, 0.5000, 0.5000]]}